# Ta3Rh4 (GGA-PBE, relaxed)
# DFT formation energy   -0.419 eV per atom
# Offset from the most stable computed form   0.0000 eV per atom
# Total magnetization   0.00 μB/f.u.
data_Ta3Rh4
_chemical_formula_sum 'Ta3 Rh4'
_cell_length_a 10.786
_cell_length_b 10.786
_cell_length_c 10.786
_cell_angle_alpha 162.55
_cell_angle_beta 162.55
_cell_angle_gamma 24.77
_space_group_name_H-M_alt 'P 1'
_space_group_IT_number 1
loop_
_space_group_symop_operation_xyz
'x,y,z'
loop_
_atom_site_label
_atom_site_fract_x
_atom_site_fract_y
_atom_site_fract_z
Ta1 0.000 0.000 0.000
Ta2 0.294 0.294 0.000
Ta3 0.706 0.706 0.000
Rh1 0.149 0.149 0.000
Rh2 0.434 0.434 0.000
Rh3 0.566 0.566 0.000
Rh4 0.851 0.851 0.000

---

# CaHf3Rh (GGA-PBE, relaxed)
# DFT formation energy   0.181 eV per atom
# Offset from the most stable computed form   0.0000 eV per atom
# Total magnetization   0.00 μB/f.u.
data_CaHf3Rh
_chemical_formula_sum 'Ca1 Hf3 Rh1'
_cell_length_a 5.080
_cell_length_b 5.080
_cell_length_c 5.080
_cell_angle_alpha 90.00
_cell_angle_beta 90.00
_cell_angle_gamma 90.00
_space_group_name_H-M_alt 'P 1'
_space_group_IT_number 1
loop_
_space_group_symop_operation_xyz
'x,y,z'
loop_
_atom_site_label
_atom_site_fract_x
_atom_site_fract_y
_atom_site_fract_z
Ca1 0.000 0.000 0.000
Hf1 0.000 0.500 0.500
Hf2 0.500 0.000 0.500
Hf3 0.500 0.500 0.000
Rh1 0.500 0.500 0.500